Record 1
# PBE-GGA K3Na2Cd7, optimized geometry
data_K3Na2Cd7
_cell_length_a 6.3552
_cell_length_b 6.3552
_cell_length_c 31.6188
_cell_angle_alpha 90.00
_cell_angle_beta 90.00
_cell_angle_gamma 120.00
_symmetry_space_group_name_H-M 'R -3 m'
_symmetry_Int_Tables_number 166
_symmetry_space_group_name_Hall '-R 3 2"'
loop_
_atom_site_label
_atom_site_fract_x
_atom_site_fract_y
_atom_site_fract_z
K1 0.0000 0.0000 0.0000
K2 0.0000 0.0000 0.1423
Na1 0.0000 0.0000 0.3335
Cd1 0.0000 0.0000 0.5000
Cd2 0.0034 0.5017 0.9149
# Formation energy (meV/atom): -91
# E_tot (eV/atom): -1.12


Record 2
# PBE-GGA Y2Ag2I, optimized geometry
data_Y2Ag2I
_cell_length_a 3.875
_cell_length_b 3.875
_cell_length_c 17.458
_cell_angle_alpha 90.00
_cell_angle_beta 90.00
_cell_angle_gamma 90.00
_symmetry_space_group_name_H-M 'I 4/m m m'
_symmetry_Int_Tables_number 139
_symmetry_space_group_name_Hall '-I 4 2'
loop_
_atom_site_label
_atom_site_fract_x
_atom_site_fract_y
_atom_site_fract_z
Y1 0.000 0.000 0.113
Ag1 0.000 0.500 0.250
I1 0.000 0.000 0.500
# ΔE_f (raw) (eV/atom): -0.217
# E_tot (eV/atom): -4.25
# Energy relative to the lowest polymorph listed for this composition (meV per atom): 143


Record 3
# PBE-GGA Ca2ZnPd, optimized geometry
data_Ca2ZnPd
_cell_length_a 3.632
_cell_length_b 3.643
_cell_length_c 16.726
_cell_angle_alpha 90.00
_cell_angle_beta 90.00
_cell_angle_gamma 90.00
_symmetry_space_group_name_H-M 'I m m m'
_symmetry_Int_Tables_number 71
_symmetry_space_group_name_Hall '-I 2 2'
loop_
_atom_site_label
_atom_site_fract_x
_atom_site_fract_y
_atom_site_fract_z
Ca1 0.000 0.000 0.161
Zn1 0.000 0.000 0.500
Pd1 0.000 0.000 0.000
# Formation energy (meV/atom): -232
# E_tot (eV/atom): -2.85


Record 4
# PBE-GGA Ac6Ni2I3Br, optimized geometry
data_Ac6Ni2I3Br
_cell_length_a 7.771
_cell_length_b 13.466
_cell_length_c 8.786
_cell_angle_alpha 90.00
_cell_angle_beta 107.15
_cell_angle_gamma 90.00
_symmetry_space_group_name_H-M 'C 1 2/m 1'
_symmetry_Int_Tables_number 12
loop_
_symmetry_equiv_pos_as_xyz
'x,y,z'
'-x,-y,-z'
'-x,y,-z'
'x,-y,z'
'x+1/2,y+1/2,z'
'-x+1/2,-y+1/2,-z'
'-x+1/2,y+1/2,-z'
'x+1/2,-y+1/2,z'
loop_
_atom_site_label
_atom_site_fract_x
_atom_site_fract_y
_atom_site_fract_z
Ac1 0.196 0.000 0.189
Ac2 0.249 0.316 0.192
Ni1 0.000 0.167 0.000
I1 0.000 0.000 0.500
I2 0.000 0.343 0.500
Br1 0.000 0.500 0.000
# ΔE_f (raw) (eV/atom): -0.841
# E_tot (eV/atom): -4.39


Record 5
# PBE-GGA BaAu2, optimized geometry
data_BaAu2
_cell_length_a 5.5188
_cell_length_b 5.5188
_cell_length_c 6.7724
_cell_angle_alpha 90.00
_cell_angle_beta 90.00
_cell_angle_gamma 120.00
_symmetry_space_group_name_H-M 'P 63/m m c'
_symmetry_Int_Tables_number 194
_symmetry_space_group_name_Hall '-P 6c 2c'
loop_
_atom_site_label
_atom_site_fract_x
_atom_site_fract_y
_atom_site_fract_z
Ba1 0.3333 0.6667 0.2500
Au1 0.0000 0.0000 0.0000
Au2 0.3333 0.6667 0.7500
# Formation energy (meV/atom): -548
# E_tot (eV/atom): -3.37


Record 6
# PBE-GGA CaAcY2, optimized geometry
data_CaAcY2
_cell_length_a 3.805
_cell_length_b 3.805
_cell_length_c 10.330
_cell_angle_alpha 90.00
_cell_angle_beta 90.00
_cell_angle_gamma 90.00
_symmetry_space_group_name_H-M 'P 4/m m m'
_symmetry_Int_Tables_number 123
_symmetry_space_group_name_Hall '-P 4 2'
loop_
_atom_site_label
_atom_site_fract_x
_atom_site_fract_y
_atom_site_fract_z
Ca1 0.000 0.000 0.000
Ac1 0.000 0.000 0.500
Y1 0.500 0.500 0.255
# Formation energy (meV/atom): 99
# E_tot (eV/atom): -4.66
# Energy relative to the lowest polymorph listed for this composition (meV per atom): 16


Record 7
# PBE-GGA Tm3CdCu8, optimized geometry
data_Tm3CdCu8
_cell_length_a 5.1489
_cell_length_b 5.1489
_cell_length_c 8.4115
_cell_angle_alpha 90.00
_cell_angle_beta 90.00
_cell_angle_gamma 120.00
_symmetry_space_group_name_H-M 'P 3 m 1'
_symmetry_Int_Tables_number 156
loop_
_symmetry_equiv_pos_as_xyz
'x,y,z'
'-y,x-y,z'
'-x+y,-x,z'
'-y,-x,z'
'-x+y,y,z'
'x,x-y,z'
loop_
_atom_site_label
_atom_site_fract_x
_atom_site_fract_y
_atom_site_fract_z
Tm1 0.0000 0.0000 0.0000
Tm2 0.0000 0.0000 0.3873
Tm3 0.3333 0.6667 0.8555
Cd1 0.3333 0.6667 0.4883
Cu1 0.0032 0.5016 0.1834
Cu2 0.3337 0.1669 0.6861
Cu3 0.6667 0.3333 0.4365
Cu4 0.6667 0.3333 0.9382
# Formation energy (meV/atom): -237
# E_tot (eV/atom): -4.16
# Energy relative to the lowest polymorph listed for this composition (meV per atom): 0


Record 8
# PBE-GGA Nd12YHo6, optimized geometry
data_Nd12YHo6
_cell_length_a 12.1743
_cell_length_b 12.1743
_cell_length_c 15.3282
_cell_angle_alpha 90.00
_cell_angle_beta 90.00
_cell_angle_gamma 120.00
_symmetry_space_group_name_H-M 'R -3'
_symmetry_Int_Tables_number 148
_symmetry_space_group_name_Hall '-R 3'
loop_
_atom_site_label
_atom_site_fract_x
_atom_site_fract_y
_atom_site_fract_z
Nd1 0.0025 0.8285 0.1916
Nd2 0.0469 0.8494 0.4164
Y1 0.0000 0.0000 0.0000
Ho1 0.0156 0.4275 0.6872
# Formation energy (meV/atom): 133
# E_tot (eV/atom): -4.66
# Energy relative to the lowest polymorph listed for this composition (meV per atom): 0